Record 1
A geometry-optimized CaSbIr2 structure, computed with PBE.

Unit cell a=6.1391 b=6.1391 c=6.1391 alpha=104.16 beta=104.16 gamma=120.72
Closest atoms and distances in Å follow each position.
Atoms (fractional coordinates):
Ca: 0.0000 0.0000 0.0000  8 Ir 3.03-3.33, 2 Sb 3.04
Ca: 0.7500 0.2500 0.5000  8 Ir 3.03-3.33, 2 Sb 3.04
Sb: 0.2500 0.7500 0.5000  4 Ir 2.54
Sb: 0.5000 0.5000 0.0000  4 Ir 2.54
Ir: 0.1730 0.6250 0.0480  2 Sb 2.54
Ir: 0.3750 0.4230 0.5480  2 Sb 2.54
Ir: 0.5770 0.1250 0.9520  2 Sb 2.54
Ir: 0.8750 0.8270 0.4520  2 Sb 2.54

For the uncorrected formation energy, the calculation gives 0.18 eV per atom. The crystal system is tetragonal. As for the space-group type: I-42d, No. 122. As for the density: 10.5 g/cm3.

=====

Record 2
A geometry-optimized SrPrInAu structure, computed with PBE.

Unit cell a=5.4926 b=5.4926 c=5.4926 alpha=60.00 beta=60.00 gamma=60.00
Closest atoms and distances in Å follow each position.
Atoms (fractional coordinates):
Sr: 0.0000 0.0000 0.0000  4 In 3.36, 4 Au 3.36
Pr: 0.5000 0.5000 0.5000  4 Au 3.36, 4 In 3.36
In: 0.2500 0.2500 0.2500  4 Pr 3.36, 4 Sr 3.36
Au: 0.7500 0.7500 0.7500  4 Pr 3.36, 4 Sr 3.36

The crystal system is cubic. As for the space-group type: F-43m, No. 216. As for the density: 7.7 g/cm3. The value obtained for the formation energy is -0.53 eV/atom.

=====

Record 3
A geometry-optimized Sr3Ir structure, computed with PBE.

Unit cell a=6.4110 b=6.4110 c=6.4110 alpha=116.21 beta=116.21 gamma=116.21
Closest atoms and distances in Å follow each position.
Atoms (fractional coordinates):
Sr: 0.0000 0.5000 0.5000  4 Sr 3.39, 2 Ir 3.39
Sr: 0.5000 0.0000 0.5000  2 Ir 3.39, 4 Sr 3.39
Sr: 0.5000 0.5000 0.0000  4 Sr 3.39, 2 Ir 3.39
Ir: 0.0000 0.0000 0.0000  6 Sr 3.39

The crystal system is trigonal. As for the space-group type: R-3m, No. 166. As for the density: 5.8 g/cm3. The value obtained for the formation energy is 0.49 eV/atom.

=====

Record 4
A geometry-optimized YFeGe2Ru structure, computed with PBE.

Unit cell a=5.8753 b=5.8753 c=5.8753 alpha=139.20 beta=139.20 gamma=59.08
Closest atoms and distances in Å follow each position.
Atoms (fractional coordinates):
Y: 0.0000 0.0000 0.0000  8 Ge 3.17, 4 Fe 3.28, 4 Ru 3.28
Fe: 0.7500 0.2500 0.5000  4 Ge 2.41
Ge: 0.3742 0.3742 0.0000  2 Fe 2.41, 2 Ru 2.41, 1 Ge 2.57
Ge: 0.6258 0.6258 0.0000  2 Fe 2.41, 2 Ru 2.41, 1 Ge 2.57
Ru: 0.2500 0.7500 0.5000  4 Ge 2.41

The crystal system is tetragonal. As for the space-group type: I-4m2, No. 119. As for the density: 7.6 g/cm3. The value obtained for the formation energy is -0.54 eV/atom.

=====

Record 5
A geometry-optimized Tb3Pr12In structure, computed with PBE.

Unit cell a=5.1335 b=5.1335 c=20.8187 alpha=90.00 beta=90.00 gamma=90.00
Closest atoms and distances in Å follow each position.
Atoms (fractional coordinates):
Tb: 0.0000 0.0000 0.0000  12 Pr 3.63-3.67
Tb: 0.0000 0.0000 0.2518  12 Pr 3.63-3.69
Tb: 0.0000 0.0000 0.7482  12 Pr 3.63-3.69
Pr: 0.0000 0.5000 0.1263  8 Pr 3.63-3.68, 4 Tb 3.66-3.67
Pr: 0.0000 0.5000 0.3793  8 Pr 3.59-3.68, 2 In 3.59, 2 Tb 3.69
Pr: 0.0000 0.5000 0.6207  2 In 3.59, 8 Pr 3.59-3.68, 2 Tb 3.69
Pr: 0.0000 0.5000 0.8737  8 Pr 3.63-3.68, 4 Tb 3.66-3.67
Pr: 0.5000 0.0000 0.1263  8 Pr 3.63-3.68, 4 Tb 3.66-3.67
Pr: 0.5000 0.0000 0.3793  8 Pr 3.59-3.68, 2 In 3.59, 2 Tb 3.69
Pr: 0.5000 0.0000 0.6207  2 In 3.59, 8 Pr 3.59-3.68, 2 Tb 3.69
Pr: 0.5000 0.0000 0.8737  8 Pr 3.63-3.68, 4 Tb 3.66-3.67
Pr: 0.5000 0.5000 0.0000  4 Tb 3.63, 8 Pr 3.67
Pr: 0.5000 0.5000 0.2528  4 Tb 3.63, 8 Pr 3.68
Pr: 0.5000 0.5000 0.5000  8 Pr 3.59, 4 In 3.63
Pr: 0.5000 0.5000 0.7472  4 Tb 3.63, 8 Pr 3.68
In: 0.0000 0.0000 0.5000  12 Pr 3.59-3.63

The crystal system is tetragonal. As for the space-group type: P4/mmm, No. 123. As for the density: 6.9 g/cm3. The value obtained for the formation energy is -0.05 eV/atom.

=====

Record 6
A geometry-optimized ZrReS2 structure, computed with PBE.

Unit cell a=7.7324 b=7.7324 c=7.7324 alpha=144.79 beta=144.79 gamma=50.64
Closest atoms and distances in Å follow each position.
Atoms (fractional coordinates):
Zr: 0.0000 0.0000 0.0000  4 S 2.49
Zr: 0.7500 0.2500 0.5000  4 S 2.49
Re: 0.2500 0.7500 0.5000  4 S 2.33
Re: 0.5000 0.5000 0.0000  4 S 2.33
S: 0.1620 0.6250 0.0370  2 Re 2.33, 2 Zr 2.49
S: 0.3750 0.4120 0.5370  2 Re 2.33, 2 Zr 2.49
S: 0.5880 0.1250 0.9630  2 Re 2.33, 2 Zr 2.49
S: 0.8750 0.8380 0.4630  2 Re 2.33, 2 Zr 2.49

For the uncorrected formation energy, the calculation gives -0.42 eV per atom. The crystal system is tetragonal. As for the space-group type: I-42d, No. 122. The excess energy over the best structure of this formula in the dataset is 0 meV per atom. As for the density: 7.4 g/cm3.

=====

Record 7
A geometry-optimized HfInN3 structure, computed with PBE.

Unit cell a=4.1938 b=4.1938 c=4.1938 alpha=90.00 beta=90.00 gamma=90.00
Closest atoms and distances in Å follow each position.
Atoms (fractional coordinates):
Hf: 0.0000 0.0000 0.0000  6 N 2.10
In: 0.5000 0.5000 0.5000  12 N 2.97
N: 0.0000 0.0000 0.5000  2 Hf 2.10
N: 0.0000 0.5000 0.0000  2 Hf 2.10
N: 0.5000 0.0000 0.0000  2 Hf 2.10

For the uncorrected formation energy, the calculation gives 0.48 eV per atom. The crystal system is cubic. As for the space-group type: Pm-3m, No. 221. As for the density: 7.5 g/cm3.

=====

Record 8
A geometry-optimized Zr2BeS structure, computed with PBE.

Unit cell a=5.1289 b=3.5632 c=7.3441 alpha=90.00 beta=110.22 gamma=90.00
Closest atoms and distances in Å follow each position.
Atoms (fractional coordinates):
Zr: 0.2194 0.2500 0.4273  4 Be 2.66-2.82, 3 S 2.67-2.75
Zr: 0.2800 0.7500 0.0711  3 Be 2.64-2.80, 4 S 2.67-2.77
Zr: 0.7200 0.2500 0.9289  3 Be 2.64-2.80, 4 S 2.67-2.77
Zr: 0.7806 0.7500 0.5727  4 Be 2.66-2.82, 3 S 2.67-2.75
Be: 0.3659 0.7500 0.7144  2 S 2.24
Be: 0.6341 0.2500 0.2856  2 S 2.24
S: 0.1509 0.2500 0.7823  2 Be 2.24
S: 0.8491 0.7500 0.2177  2 Be 2.24

For the uncorrected formation energy, the calculation gives -0.84 eV per atom. The crystal system is monoclinic. As for the space-group type: P2_1/m, No. 11. The excess energy over the best structure of this formula in the dataset is 0 meV per atom. As for the density: 5.9 g/cm3.

=====

Record 9
A geometry-optimized Ho2ThRu2 structure, computed with PBE.

Unit cell a=5.6595 b=4.3616 c=10.2165 alpha=90.00 beta=94.09 gamma=90.00
Closest atoms and distances in Å follow each position.
Atoms (fractional coordinates):
Ho: 0.1085 0.2500 0.3767  4 Ru 2.77-2.99
Ho: 0.2476 0.2500 0.0279  3 Ru 2.92-2.93
Ho: 0.7524 0.7500 0.9721  3 Ru 2.92-2.93
Ho: 0.8915 0.7500 0.6233  4 Ru 2.77-2.99
Th: 0.4010 0.2500 0.7001  5 Ru 2.73-2.87
Th: 0.5990 0.7500 0.2999  5 Ru 2.73-2.87
Ru: 0.2757 0.7500 0.8397  2 Th 2.73, 4 Ho 2.92-2.99
Ru: 0.3411 0.7500 0.5322  3 Ho 2.77-2.95, 3 Th 2.78-2.87, 2 Ru 2.93
Ru: 0.6589 0.2500 0.4678  3 Ho 2.77-2.95, 3 Th 2.78-2.87, 2 Ru 2.93
Ru: 0.7243 0.2500 0.1603  2 Th 2.73, 4 Ho 2.92-2.99

The crystal system is monoclinic. As for the space-group type: P2_1/m, No. 11. The excess energy over the best structure of this formula in the dataset is 37 meV per atom. As for the density: 10.1 g/cm3. The value obtained for the formation energy is -0.36 eV/atom.

=====

Record 10
A geometry-optimized NaSn4Pd2 structure, computed with PBE.

Unit cell a=18.5077 b=4.5568 c=7.5089 alpha=90.00 beta=90.00 gamma=90.00
Closest atoms and distances in Å follow each position.
Atoms (fractional coordinates):
Na: 0.1446 0.2500 0.0347  10 Sn 3.25-3.62, 4 Pd 3.44-3.46
Na: 0.3554 0.7500 0.5347  10 Sn 3.25-3.62, 4 Pd 3.44-3.46
Na: 0.6446 0.2500 0.4653  10 Sn 3.25-3.62, 4 Pd 3.44-3.46
Na: 0.8554 0.7500 0.9653  10 Sn 3.25-3.62, 4 Pd 3.44-3.46
Sn: 0.0340 0.7500 0.8738  3 Pd 2.77-2.82, 1 Sn 3.07
Sn: 0.0655 0.2500 0.4757  4 Pd 2.79-2.90
Sn: 0.1843 0.7500 0.3282  4 Pd 2.82-2.85, 1 Sn 3.15
Sn: 0.1918 0.7500 0.7479  3 Pd 2.78-2.82, 1 Sn 3.07
Sn: 0.3082 0.2500 0.2479  3 Pd 2.78-2.82, 1 Sn 3.07
Sn: 0.3157 0.2500 0.8282  4 Pd 2.82-2.85, 1 Sn 3.15
Sn: 0.4345 0.7500 0.9757  4 Pd 2.79-2.90
Sn: 0.4660 0.2500 0.3738  3 Pd 2.77-2.82, 1 Sn 3.07
Sn: 0.5340 0.7500 0.6262  3 Pd 2.77-2.82, 1 Sn 3.07
Sn: 0.5655 0.2500 0.0243  4 Pd 2.79-2.90
Sn: 0.6843 0.7500 0.1718  4 Pd 2.82-2.85, 1 Sn 3.15
Sn: 0.6918 0.7500 0.7521  3 Pd 2.78-2.82, 1 Sn 3.07
Sn: 0.8082 0.2500 0.2521  3 Pd 2.78-2.82, 1 Sn 3.07
Sn: 0.8157 0.2500 0.6718  4 Pd 2.82-2.85, 1 Sn 3.15
Sn: 0.9345 0.7500 0.5243  4 Pd 2.79-2.90
Sn: 0.9660 0.2500 0.1262  3 Pd 2.77-2.82, 1 Sn 3.07
Pd: 0.0356 0.7500 0.2491  7 Sn 2.77-2.90
Pd: 0.2146 0.2500 0.5435  7 Sn 2.78-2.85
Pd: 0.2854 0.7500 0.0435  7 Sn 2.78-2.85
Pd: 0.4644 0.2500 0.7491  7 Sn 2.77-2.90
Pd: 0.5356 0.7500 0.2509  7 Sn 2.77-2.90
Pd: 0.7146 0.2500 0.9565  7 Sn 2.78-2.85
Pd: 0.7854 0.7500 0.4565  7 Sn 2.78-2.85
Pd: 0.9644 0.2500 0.7509  7 Sn 2.77-2.90

The crystal system is orthorhombic. As for the space-group type: Pnma, No. 62. As for the density: 7.5 g/cm3. The value obtained for the formation energy is -0.40 eV/atom.

=====

What did we get for VASP energy? Answer: -5.777 -3.654 -2.990 -7.223 -4.674 -7.733 -7.054 -7.073 -7.387 -4.359 eV per atom, in the order shown.